(1)
A geometry-optimized YFeP structure, computed with PBE.

The structure in CIF format:
```
data_YFeP
_space_group_name_H-M_alt 'P 1'
_space_group_IT_number 1
_cell_length_a 6.4609
_cell_length_b 6.4609
_cell_length_c 6.4609
_cell_angle_alpha 90.00
_cell_angle_beta 90.00
_cell_angle_gamma 90.00
loop_
_space_group_symop_operation_xyz
'x,y,z'
loop_
_atom_site_label
_atom_site_fract_x
_atom_site_fract_y
_atom_site_fract_z
Y1 0.0000 0.0000 0.0000
Y2 0.0000 0.5000 0.5000
Y3 0.5000 0.0000 0.5000
Y4 0.5000 0.5000 0.0000
Fe1 0.2500 0.2500 0.2500
Fe2 0.2500 0.7500 0.7500
Fe3 0.7500 0.2500 0.7500
Fe4 0.7500 0.7500 0.2500
P1 0.2500 0.2500 0.7500
P2 0.2500 0.7500 0.2500
P3 0.7500 0.2500 0.2500
P4 0.7500 0.7500 0.7500
```

Summary:
The formation energy is 0.304 eV/atom. As for the space group: No. 216. Its total magnetic moment is 2.91 μB/f.u. For the calculated total energy, the calculation gives -77.70 eV per cell. For the volume, the calculation gives 22.47 Å³ per atom.

***

(2)
A geometry-optimized Y2FeP structure, computed with PBE.

The structure in CIF format:
```
data_Y2FeP
_space_group_name_H-M_alt 'P 1'
_space_group_IT_number 1
_cell_length_a 6.7407
_cell_length_b 3.8878
_cell_length_c 7.4009
_cell_angle_alpha 90.00
_cell_angle_beta 107.59
_cell_angle_gamma 90.00
loop_
_space_group_symop_operation_xyz
'x,y,z'
loop_
_atom_site_label
_atom_site_fract_x
_atom_site_fract_y
_atom_site_fract_z
Y1 0.2439 0.0000 0.2327
Y2 0.2561 0.5000 0.7673
Y3 0.7439 0.5000 0.2327
Y4 0.7561 0.0000 0.7673
Fe1 0.0000 0.0000 0.5000
Fe2 0.5000 0.5000 0.5000
P1 0.0000 0.5000 0.0000
P2 0.5000 0.0000 0.0000
```

Summary:
The formation energy is -0.432 eV/atom. As for the space group: No. 12. Its total magnetic moment is 1.41 μB/f.u. For the calculated total energy, the calculation gives -57.06 eV per cell. For the volume, the calculation gives 23.11 Å³ per atom.

***

(3)
A geometry-optimized Y2FeP structure, computed with PBE.

The structure in CIF format:
```
data_Y2FeP
_space_group_name_H-M_alt 'P 1'
_space_group_IT_number 1
_cell_length_a 3.5287
_cell_length_b 3.5287
_cell_length_c 6.6077
_cell_angle_alpha 90.00
_cell_angle_beta 90.00
_cell_angle_gamma 90.00
loop_
_space_group_symop_operation_xyz
'x,y,z'
loop_
_atom_site_label
_atom_site_fract_x
_atom_site_fract_y
_atom_site_fract_z
Y1 0.0000 0.0000 0.2423
Y2 0.0000 0.0000 0.7577
Fe1 0.5000 0.5000 0.5000
P1 0.5000 0.5000 0.0000
```

Summary:
The formation energy is -0.508 eV/atom. As for the space group: No. 123. Its total magnetic moment is 1.58 μB/f.u. For the calculated total energy, the calculation gives -28.83 eV per cell. For the volume, the calculation gives 20.57 Å³ per atom.

***

(4)
A geometry-optimized YFeP2 structure, computed with PBE.

The structure in CIF format:
```
data_YFeP2
_space_group_name_H-M_alt 'P 1'
_space_group_IT_number 1
_cell_length_a 3.7677
_cell_length_b 5.6236
_cell_length_c 6.4301
_cell_angle_alpha 90.00
_cell_angle_beta 90.00
_cell_angle_gamma 90.00
loop_
_space_group_symop_operation_xyz
'x,y,z'
loop_
_atom_site_label
_atom_site_fract_x
_atom_site_fract_y
_atom_site_fract_z
Y1 0.0000 0.0000 0.0000
Y2 0.5000 0.5000 0.5000
Fe1 0.0000 0.0000 0.5000
Fe2 0.5000 0.5000 0.0000
P1 0.0000 0.5000 0.1827
P2 0.0000 0.5000 0.8173
P3 0.5000 0.0000 0.3173
P4 0.5000 0.0000 0.6827
```

Summary:
The formation energy is -0.662 eV/atom. As for the space group: No. 71. Its total magnetic moment is 0.49 μB/f.u. For the calculated total energy, the calculation gives -56.79 eV per cell. For the volume, the calculation gives 17.03 Å³ per atom.

***

(5)
A geometry-optimized YFe3P structure, computed with PBE.

The structure in CIF format:
```
data_YFe3P
_space_group_name_H-M_alt 'P 1'
_space_group_IT_number 1
_cell_length_a 4.6985
_cell_length_b 4.6985
_cell_length_c 4.6985
_cell_angle_alpha 90.00
_cell_angle_beta 90.00
_cell_angle_gamma 90.00
loop_
_space_group_symop_operation_xyz
'x,y,z'
loop_
_atom_site_label
_atom_site_fract_x
_atom_site_fract_y
_atom_site_fract_z
Y1 0.0000 0.0000 0.0000
Fe1 0.0000 0.0000 0.5000
Fe2 0.0000 0.5000 0.0000
Fe3 0.5000 0.0000 0.0000
P1 0.5000 0.5000 0.5000
```

Summary:
The formation energy is 1.993 eV/atom. As for the space group: No. 221. Its total magnetic moment is 6.88 μB/f.u. For the calculated total energy, the calculation gives -27.30 eV per cell. For the volume, the calculation gives 20.75 Å³ per atom.

***

(6)
A geometry-optimized YFeP2 structure, computed with PBE.

The structure in CIF format:
```
data_YFeP2
_space_group_name_H-M_alt 'P 1'
_space_group_IT_number 1
_cell_length_a 6.4981
_cell_length_b 3.7623
_cell_length_c 5.6058
_cell_angle_alpha 90.00
_cell_angle_beta 112.98
_cell_angle_gamma 90.00
loop_
_space_group_symop_operation_xyz
'x,y,z'
loop_
_atom_site_label
_atom_site_fract_x
_atom_site_fract_y
_atom_site_fract_z
Y1 0.0000 0.0000 0.0000
Y2 0.5000 0.5000 0.0000
Fe1 0.0000 0.5000 0.5000
Fe2 0.5000 0.0000 0.5000
P1 0.2193 0.0000 0.6591
P2 0.2807 0.5000 0.3409
P3 0.7193 0.5000 0.6591
P4 0.7807 0.0000 0.3409
```

Summary:
The formation energy is -0.836 eV/atom. As for the space group: No. 12. Its total magnetic moment is 0.29 μB/f.u. For the calculated total energy, the calculation gives -58.18 eV per cell. For the volume, the calculation gives 15.77 Å³ per atom.

***

(7)
A geometry-optimized Y2FeP structure, computed with PBE.

The structure in CIF format:
```
data_Y2FeP
_space_group_name_H-M_alt 'P 1'
_space_group_IT_number 1
_cell_length_a 3.9681
_cell_length_b 3.9206
_cell_length_c 10.5816
_cell_angle_alpha 90.00
_cell_angle_beta 90.00
_cell_angle_gamma 90.00
loop_
_space_group_symop_operation_xyz
'x,y,z'
loop_
_atom_site_label
_atom_site_fract_x
_atom_site_fract_y
_atom_site_fract_z
Y1 0.0000 0.0000 0.0000
Y2 0.0000 0.5000 0.5000
Y3 0.5000 0.0000 0.2796
Y4 0.5000 0.5000 0.7796
Fe1 0.5000 0.0000 0.5714
Fe2 0.5000 0.5000 0.0714
P1 0.0000 0.0000 0.7056
P2 0.0000 0.5000 0.2056
```

Summary:
The formation energy is -0.742 eV/atom. As for the space group: No. 38. Its total magnetic moment is 1.31 μB/f.u. For the calculated total energy, the calculation gives -59.53 eV per cell. For the volume, the calculation gives 20.58 Å³ per atom.

***

(8)
A geometry-optimized YFeP2 structure, computed with PBE.

The structure in CIF format:
```
data_YFeP2
_space_group_name_H-M_alt 'P 1'
_space_group_IT_number 1
_cell_length_a 3.1585
_cell_length_b 3.1585
_cell_length_c 6.3162
_cell_angle_alpha 90.00
_cell_angle_beta 90.00
_cell_angle_gamma 90.00
loop_
_space_group_symop_operation_xyz
'x,y,z'
loop_
_atom_site_label
_atom_site_fract_x
_atom_site_fract_y
_atom_site_fract_z
Y1 0.0000 0.0000 0.0000
Fe1 0.0000 0.0000 0.5000
P1 0.5000 0.5000 0.3103
P2 0.5000 0.5000 0.6897
```

Summary:
The formation energy is -0.321 eV/atom. As for the space group: No. 123. Its total magnetic moment is 2.16 μB/f.u. For the calculated total energy, the calculation gives -27.03 eV per cell. For the volume, the calculation gives 15.75 Å³ per atom.

***

(9)
A geometry-optimized YFeP2 structure, computed with PBE.

The structure in CIF format:
```
data_YFeP2
_space_group_name_H-M_alt 'P 1'
_space_group_IT_number 1
_cell_length_a 4.5518
_cell_length_b 4.5518
_cell_length_c 14.2564
_cell_angle_alpha 90.00
_cell_angle_beta 90.00
_cell_angle_gamma 90.00
loop_
_space_group_symop_operation_xyz
'x,y,z'
loop_
_atom_site_label
_atom_site_fract_x
_atom_site_fract_y
_atom_site_fract_z
Y1 0.0000 0.0000 0.0000
Y2 0.0000 0.5000 0.2500
Y3 0.5000 0.0000 0.7500
Y4 0.5000 0.5000 0.5000
Fe1 0.0000 0.0000 0.5000
Fe2 0.0000 0.5000 0.7500
Fe3 0.5000 0.0000 0.2500
Fe4 0.5000 0.5000 0.0000
P1 0.0746 0.2500 0.6250
P2 0.2500 0.5746 0.8750
P3 0.2500 0.9254 0.3750
P4 0.4254 0.2500 0.1250
P5 0.5746 0.7500 0.1250
P6 0.7500 0.0746 0.3750
P7 0.7500 0.4254 0.8750
P8 0.9254 0.7500 0.6250
```

Summary:
The formation energy is -0.583 eV/atom. As for the space group: No. 122. Its total magnetic moment is 0.52 μB/f.u. For the calculated total energy, the calculation gives -112.31 eV per cell. For the volume, the calculation gives 18.46 Å³ per atom.

***

(10)
A geometry-optimized YFeP2 structure, computed with PBE.

The structure in CIF format:
```
data_YFeP2
_space_group_name_H-M_alt 'P 1'
_space_group_IT_number 1
_cell_length_a 3.3394
_cell_length_b 3.3650
_cell_length_c 11.8026
_cell_angle_alpha 90.00
_cell_angle_beta 90.00
_cell_angle_gamma 90.00
loop_
_space_group_symop_operation_xyz
'x,y,z'
loop_
_atom_site_label
_atom_site_fract_x
_atom_site_fract_y
_atom_site_fract_z
Y1 0.0000 0.0000 0.0000
Y2 0.5000 0.5000 0.5000
Fe1 0.0000 0.5000 0.7467
Fe2 0.5000 0.0000 0.2467
P1 0.0000 0.0000 0.6243
P2 0.0000 0.5000 0.3120
P3 0.5000 0.0000 0.8120
P4 0.5000 0.5000 0.1243
```

Summary:
The formation energy is -0.551 eV/atom. As for the space group: No. 44. Its total magnetic moment is 0.67 μB/f.u. For the calculated total energy, the calculation gives -55.90 eV per cell. For the volume, the calculation gives 16.58 Å³ per atom.